[1]
Compound: SrCaZr
Source: the Alexandria database
Functional: PBE
Structure: optimized geometry

a b c (Å): 5.770 5.770 5.770
angles (deg): 60.00 60.00 60.00
Site moments in Bohr magnetons follow the coordinates.
Fractional positions:
Ca 0.000 0.000 0.000  0.13
Sr 0.500 0.500 0.500  0.13
Zr 0.750 0.750 0.750  1.54

Results
VASP energy   -9.10 eV for the cell shown
SG   F-43m, No. 216

[2]
Compound: Sr2CaZr
Source: the Alexandria database
Functional: PBE
Structure: optimized geometry

a b c (Å): 6.026 6.026 6.026
angles (deg): 60.00 60.00 60.00
Site moments in Bohr magnetons follow the coordinates.
Fractional positions:
Sr 0.000 0.000 0.000  0.02
Sr 0.250 0.250 0.250  0.00
Ca 0.500 0.500 0.500  0.02
Zr 0.750 0.750 0.750  0.77

Results
VASP energy   -11.95 eV for the cell shown
SG   F-43m, No. 216

[3]
Compound: SrCaZr
Source: the Alexandria database
Functional: PBE
Structure: optimized geometry

a b c (Å): 3.883 15.988 3.883
angles (deg): 104.04 90.02 104.03
Fractional positions:
Zr 0.679 0.547 0.916
Zr 0.254 0.621 0.491
Ca 0.031 0.398 0.268
Ca 0.340 0.208 0.577
Sr 0.916 0.783 0.153
Sr 0.638 0.006 0.875

Results
VASP energy   -23.32 eV for the cell shown
SG   P4mm, No. 99

[4]
Compound: Sr2CaZr
Source: the Alexandria database
Functional: PBE
Structure: optimized geometry

a b c (Å): 7.388 7.388 7.388
angles (deg): 149.48 128.93 60.67
Site moments in Bohr magnetons follow the coordinates.
Fractional positions:
Sr 0.005 0.005 0.000  0.04
Sr 0.727 0.227 0.500  0.01
Ca 0.276 0.776 0.500  0.01
Zr 0.492 0.492 0.000  0.80

Results
VASP energy   -12.17 eV for the cell shown
SG   Imm2, No. 44

[5]
Compound: SrCaZr2
Source: the Alexandria database
Functional: PBE
Structure: optimized geometry

a b c (Å): 4.183 3.559 9.552
angles (deg): 68.32 90.00 90.00
Fractional positions:
Ca 0.000 0.557 0.445
Zr 0.500 0.299 0.201
Zr 0.000 0.938 0.061
Sr 0.500 0.706 0.792

Results
VASP energy   -19.71 eV for the cell shown
SG   Pm, No. 6

[6]
Compound: SrCaZr2
Source: the Alexandria database
Functional: PBE
Structure: optimized geometry

a b c (Å): 6.824 6.824 6.824
angles (deg): 149.10 126.52 63.05
Site moments in Bohr magnetons follow the coordinates.
Fractional positions:
Zr 0.779 0.279 0.500  0.61
Zr 0.967 0.967 0.000  0.59
Ca 0.520 0.520 0.000  0.04
Sr 0.234 0.734 0.500  0.05

Results
VASP energy   -18.86 eV for the cell shown
SG   Imm2, No. 44